A relaxed structure of Al2TlCl, computed with PBE.

Properties
Its formation energy without anion corrections is -84.3 meV/atom. The density is 5.27 g cm⁻³. As for the polymorph energy (0 for the lowest one): 0.047 eV/atom.

Lattice parameters (Å, degrees): 3.1731 3.1731 9.1967 90.00 90.00 90.00
Closest atoms and distances in Å follow each position.
Space group P4mm (No. 99)
Inequivalent atoms, fractional coordinates:
Al 0.0000 0.0000 0.0000 [1 per cell]  8 Al 2.87-3.17
Al 0.5000 0.5000 0.1940 [1 per cell]  4 Cl 2.77, 4 Al 2.87
Tl 0.5000 0.5000 0.7240 [1 per cell]  4 Tl 3.17, 4 Al 3.39
Cl 0.0000 0.0000 0.3716 [1 per cell]  4 Al 2.77